Arrangement A

Tb3AlNi3 | GGA-PBE | optimized geometry

Calculated values
space-group type: P6_3/m (176)
DOS(E_F): 9.03 states/eV/cell
crystal system: hexagonal

Structure (POSCAR):
```
Tb3AlNi3
1.0
-3.6608 -3.5803 -1.7562
4.8547 -6.1889 2.4976
-5.5967 3.1932 5.1564
Tb Al Ni
6 2 6
Direct
0.7500 0.7048 0.6525
0.7500 0.3475 0.0523
0.7500 0.9477 0.2952
0.2500 0.2952 0.3475
0.2500 0.6525 0.9477
0.2500 0.0523 0.7048
0.2500 0.6667 0.3333
0.7500 0.3333 0.6667
0.2500 0.6742 0.6215
0.2500 0.3785 0.0527
0.2500 0.9473 0.3258
0.7500 0.3258 0.3785
0.7500 0.6215 0.9473
0.7500 0.0527 0.6742
```

Arrangement B

Tb3AlNi3 | GGA-PBE | optimized geometry

Calculated values
space-group type: Cmcm (63)
DOS(E_F): 9.62 states/eV/cell
crystal system: orthorhombic

Structure (POSCAR):
```
Tb3AlNi3
1.0
4.0884 0.0000 0.0000
-2.0442 5.0169 0.0000
0.0000 0.0000 13.2434
Tb Al Ni
6 2 6
Direct
0.2131 0.4261 0.8957
0.7869 0.5739 0.1043
0.2131 0.4261 0.6043
0.7869 0.5739 0.3957
0.4958 0.9915 0.7500
0.5042 0.0085 0.2500
0.5000 0.0000 0.0000
0.5000 0.0000 0.5000
0.9243 0.8485 0.9111
0.0757 0.1515 0.0889
0.9243 0.8485 0.5889
0.0757 0.1515 0.4111
0.7934 0.5868 0.7500
0.2066 0.4132 0.2500
```

The data favor arrangement B; the next most stable structure lies 306 meV per atom above it.

Arrangement A

Al4TcNi | GGA-PBE | optimized geometry

Calculated values
space-group type: F-43m (216)
DOS(E_F): 5.87 states/eV/cell
crystal system: cubic

Structure (POSCAR):
```
Al4TcNi
1.0
0.0000 3.5107 3.5107
3.5107 0.0000 3.5107
3.5107 3.5107 0.0000
Al Tc Ni
4 1 1
Direct
0.8746 0.3751 0.3751
0.3751 0.3751 0.8746
0.3751 0.8746 0.3751
0.3751 0.3751 0.3751
0.0000 0.0000 0.0000
0.7500 0.7500 0.7500
```

Arrangement B

Al4TcNi | GGA-PBE | optimized geometry

Calculated values
space-group type: P4/mmm (123)
DOS(E_F): 6.11 states/eV/cell
crystal system: tetragonal

Structure (POSCAR):
```
Al4TcNi
1.0
5.7423 0.0000 0.0272
0.0000 5.7424 0.0000
-0.0283 0.0000 5.9824
Al Tc Ni
8 2 2
Direct
0.7500 0.7500 0.2397
0.7500 0.2500 0.7603
0.2500 0.2500 0.2397
0.2500 0.7500 0.7603
0.2500 0.2500 0.7603
0.2500 0.7500 0.2397
0.7500 0.7500 0.7603
0.7500 0.2500 0.2397
0.5000 0.0000 0.5000
0.0000 0.5000 0.5000
0.0000 0.0000 0.0000
0.5000 0.5000 0.0000
```

The data favor arrangement B; the next most stable structure lies 288 meV per atom above it.

Arrangement A

Al2TcNi2 | GGA-PBE | optimized geometry

Calculated values
space-group type: P4/mbm (127)
DOS(E_F): 5.97 states/eV/cell
crystal system: tetragonal

Structure (POSCAR):
```
Al2TcNi2
1.0
6.9627 0.0000 0.0000
0.0000 6.9627 0.0000
0.0000 0.0000 2.6275
Ni Tc Al
4 2 4
Direct
0.1526 0.6526 0.5000
0.6526 0.8474 0.5000
0.8474 0.3474 0.5000
0.3474 0.1526 0.5000
0.0000 0.0000 0.0000
0.5000 0.5000 0.0000
0.3555 0.8555 0.0000
0.8555 0.6445 0.0000
0.6445 0.1445 0.0000
0.1445 0.3555 0.0000
```

Arrangement B

Al2TcNi2 | GGA-PBE | optimized geometry

Calculated values
space-group type: P4/mbm (127)
DOS(E_F): 4.14 states/eV/cell
crystal system: tetragonal

Structure (POSCAR):
```
Al2TcNi2
1.0
-3.5453 -5.4301 2.6724
5.9038 -3.7845 0.1423
0.4934 0.8601 2.4024
Ni Tc Al
4 2 4
Direct
0.3753 0.8753 0.0000
0.8753 0.6247 0.0000
0.6247 0.1247 0.0000
0.1247 0.3753 0.0000
0.0000 0.0000 0.0000
0.5000 0.5000 0.0000
0.1718 0.6718 0.5000
0.6718 0.8282 0.5000
0.8282 0.3282 0.5000
0.3282 0.1718 0.5000
```

The data favor arrangement A; the next most stable structure lies 22 meV per atom above it.